VASP calculation (PBE) on a relaxed structure of SiAg2Cl. Values from VASP.

Results
**Energy relative to the elements, uncorrected**: 11.30 kcal/mol of atoms
**Volume**: 19.71 Å³/atom
**D(E_F)**: 0.4181 states/eV/atom

```
&SYSTEM
  ibrav = 0, nat = 4, ntyp = 3
/
ATOMIC_SPECIES
Ag 107.87 Ag.upf
Cl 35.45 Cl.upf
Si 28.09 Si.upf
CELL_PARAMETERS angstrom
-3.133 -2.968 -2.130
1.284 -4.525 -1.020
-1.911 -3.659 2.474
ATOMIC_POSITIONS angstrom
Ag -0.940 -2.788 -0.169
Cl -1.881 -5.576 -0.338
Si -2.821 -8.365 -0.507
Ag 0.000 0.000 0.000
```

VASP calculation (PBE) on a relaxed structure of FePtBr. Values from VASP.

Results
**Energy relative to the elements, uncorrected**: 7.07 kcal/mol of atoms
**Volume**: 18.76 Å³/atom
**D(E_F)**: 0.7841 states/eV/atom

```
&SYSTEM
  ibrav = 0, nat = 3, ntyp = 3
/
ATOMIC_SPECIES
Pt 195.08 Pt.upf
Br 79.90 Br.upf
Fe 55.84 Fe.upf
CELL_PARAMETERS angstrom
-2.394 -4.324 -4.281
0.131 -5.649 -3.291
-1.647 -1.849 1.725
ATOMIC_POSITIONS angstrom
Pt -2.080 -7.560 -4.811
Br -2.244 -9.724 -7.287
Fe -1.849 -4.510 -1.320
```

VASP calculation (PBE) on a relaxed structure of Pu2Ga3BiAu4. Values from VASP.

Results
**Formation energy**: -320.7 meV/atom
**Volume**: 22.42 Å³/atom
**D(E_F)**: 3.2288 states/eV/atom

```
&SYSTEM
  ibrav = 0, nat = 10, ntyp = 4
/
ATOMIC_SPECIES
Au 196.97 Au.upf
Pu 244.00 Pu.upf
Ga 69.72 Ga.upf
Bi 208.98 Bi.upf
CELL_PARAMETERS angstrom
-4.201 -0.979 -0.932
-0.211 -2.529 3.610
-3.484 9.084 6.160
ATOMIC_POSITIONS angstrom
Au -4.404 5.518 3.607
Au -2.206 -1.754 1.339
Pu -2.800 5.760 6.568
Au 0.000 0.000 0.000
Pu -2.890 1.571 0.931
Ga -5.156 7.479 4.937
Ga -0.534 -0.149 2.561
Ga -1.742 4.542 3.080
Bi -3.948 2.788 4.419
Au -1.286 1.813 3.892
```

VASP calculation (PBE) on a relaxed structure of Zn2WSe. Values from VASP.

Results
**Energy relative to the elements, uncorrected**: 9.56 kcal/mol of atoms
**Volume**: 16.11 Å³/atom
**D(E_F)**: 0.7983 states/eV/atom

```
&SYSTEM
  ibrav = 0, nat = 4, ntyp = 3
/
ATOMIC_SPECIES
Se 78.96 Se.upf
Zn 65.41 Zn.upf
W 183.84 W.upf
CELL_PARAMETERS angstrom
-0.601 -1.041 3.355
2.620 -2.400 -0.276
3.331 3.445 1.666
ATOMIC_POSITIONS angstrom
Se 1.842 -0.860 1.956
Zn 3.284 3.397 1.643
W 3.508 0.863 2.789
Zn 1.712 1.771 0.856
```

VASP calculation (PBE) on a relaxed structure of Pm3Sc2Pb6. Values from VASP.

Results
**Formation energy**: -164.6 meV/atom
**Volume**: 32.75 Å³/atom
**D(E_F)**: 0.5366 states/eV/atom

```
&SYSTEM
  ibrav = 0, nat = 11, ntyp = 3
/
ATOMIC_SPECIES
Pb 207.20 Pb.upf
Pm 145.00 Pm.upf
Sc 44.96 Sc.upf
CELL_PARAMETERS angstrom
-5.186 2.045 1.043
-2.101 -5.267 -0.123
5.470 0.626 10.545
ATOMIC_POSITIONS angstrom
Pb -2.913 -2.005 4.864
Pb -2.303 0.866 2.274
Pb 1.095 -0.591 6.602
Pm -2.397 -2.283 7.975
Sc -3.382 -1.752 2.040
Pm 0.579 -0.312 3.492
Pb 0.485 -3.461 9.192
Pm 0.000 0.000 0.000
Pb -0.760 -2.790 1.691
Pb -1.058 0.194 9.775
Sc 1.564 -0.843 9.426
```

VASP calculation (PBE) on a relaxed structure of PrZn10Pt2. Values from VASP.

Results
**Formation energy**: -331.8 meV/atom
**Volume**: 16.58 Å³/atom
**D(E_F)**: 0.4052 states/eV/atom

```
&SYSTEM
  ibrav = 0, nat = 13, ntyp = 3
/
ATOMIC_SPECIES
Pt 195.08 Pt.upf
Zn 65.41 Zn.upf
Pr 140.91 Pr.upf
CELL_PARAMETERS angstrom
-1.312 -2.176 4.841
3.337 -5.889 1.344
3.938 2.129 5.112
ATOMIC_POSITIONS angstrom
Pt 1.012 -4.032 3.092
Zn 1.712 -2.773 5.392
Zn 3.139 -0.714 6.704
Zn 4.737 -4.511 8.517
Zn 4.251 -3.163 5.905
Zn 1.227 -1.424 2.779
Zn 2.455 -2.881 8.632
Zn 1.969 1.065 2.556
Zn 1.313 -0.023 4.976
Pt 1.668 -2.944 0.672
Zn 3.508 -3.055 2.665
Pr 0.000 0.000 0.000
Zn 2.824 -5.222 4.592
```

| no. | magnetic moment (μB/f.u.) |
| --- | --- |
| 1 | 0.000 |
| 2 | 3.929 |
| 3 | 11.368 |
| 4 | 0.000 |
| 5 | 0.000 |
| 6 | 0.000 |